#A
DFT (GGA-PBEsol) results for a geometry-optimized Cd5Rh structure.

Geometry as POSCAR:
```
Cd5Rh
1.0
3.089 0.000 0.000
0.000 4.680 0.000
-1.544 0.000 7.760
Cd Rh
5 1
Direct
0.996 0.000 0.992 Cd
0.542 0.500 0.084 Cd
0.341 0.000 0.682 Cd
0.666 0.000 0.331 Cd
0.234 0.500 0.467 Cd
0.889 0.500 0.777 Rh
```

The calculation puts the density of states at the Fermi level at 2.37 states/eV per cell. The value obtained for the density is 9.85 Mg/m³. As for the symmetry: Amm2 (38). As for the crystal system: orthorhombic.

#B
DFT (GGA-PBEsol) results for a geometry-optimized Cd5Rh structure.

Geometry as POSCAR:
```
Cd5Rh
1.0
-0.057 2.028 2.344
-1.973 -1.832 1.537
9.186 -5.624 5.092
Cd Rh
5 1
Direct
0.000 0.000 0.360 Cd
0.000 0.000 0.000 Cd
0.500 0.500 0.179 Cd
0.000 0.000 0.640 Cd
0.500 0.500 0.821 Cd
0.500 0.500 0.500 Rh
```

The calculation puts the density of states at the Fermi level at 2.24 states/eV per cell. The value obtained for the density is 9.64 Mg/m³. As for the symmetry: P4/mmm (123). As for the crystal system: tetragonal.

Stability check: which of them is most stable? #A.

#A
DFT (GGA-PBEsol) results for a geometry-optimized TlCd2Rh structure.

Geometry as POSCAR:
```
TlCd2Rh
1.0
2.989 0.000 0.000
0.000 4.566 0.000
-1.495 -2.283 5.965
Cd Tl Rh
2 1 1
Direct
0.803 0.803 0.606 Cd
0.197 0.197 0.394 Cd
0.000 0.500 0.000 Tl
0.500 0.000 0.000 Rh
```

The calculation puts the density of states at the Fermi level at 1.50 states/eV per cell. The value obtained for the density is 10.85 Mg/m³. As for the symmetry: Immm (71). As for the crystal system: orthorhombic.

#B
DFT (GGA-PBEsol) results for a geometry-optimized TlCd2Rh structure.

Geometry as POSCAR:
```
TlCd2Rh
1.0
4.122 0.000 0.000
0.000 4.129 0.000
-2.061 -2.065 4.338
Cd Rh Tl
2 1 1
Direct
0.000 0.000 0.000 Cd
0.750 0.250 0.500 Cd
0.500 0.500 0.000 Rh
0.250 0.750 0.500 Tl
```

The calculation puts the density of states at the Fermi level at 1.68 states/eV per cell. The value obtained for the density is 11.97 Mg/m³. As for the symmetry: I-4m2 (119). As for the crystal system: tetragonal.

Stability check: which of them is most stable? #A.